1.
A relaxed structure of Rb3CaSn2Cl9, computed with PBE.

Values from the calculation:
Formation energy (no corrections): -1.665 eV per atom
Calculated total energy: -54.51 eV for the cell shown
Mass density: 2.753 g/cm3
Magnetic moment: 0.00 μB per formula unit

a b c (Å): 7.8400 7.8400 9.6640
angles (deg): 90.00 90.00 120.00
Space group P-3m1 (No. 164)
Unique sites:
Rb (0.0000, 0.0000, 0.0000) [1 per cell]
Rb (0.3333, 0.6667, 0.6444) [2 per cell]
Ca (0.0000, 0.0000, 0.5000) [1 per cell]
Sn (0.3333, 0.6667, 0.1671) [2 per cell]
Cl (0.0000, 0.5000, 0.0000) [3 per cell]
Cl (0.1644, 0.3288, 0.3396) [6 per cell]

***

2.
A relaxed structure of RbCa2SnCl8, computed with PBE.

Values from the calculation:
Formation energy (no corrections): -1.764 eV per atom
Calculated total energy: -44.92 eV for the cell shown
Mass density: 2.524 g/cm3
Magnetic moment: 0.00 μB per formula unit

a b c (Å): 6.429 8.754 6.640
angles (deg): 90.00 90.70 90.00
Space group P2/m (No. 10)
Unique sites:
Rb (0.000, 0.000, 0.000) [1 per cell]
Ca (0.500, 0.248, 0.500) [2 per cell]
Sn (0.000, 0.500, 0.000) [1 per cell]
Cl (0.240, 0.291, 0.167) [4 per cell]
Cl (0.264, 0.500, 0.674) [2 per cell]
Cl (0.278, 0.000, 0.621) [2 per cell]

***

3.
A relaxed structure of RbCaSnCl2, computed with PBE.

Values from the calculation:
Formation energy (no corrections): -0.619 eV per atom
Calculated total energy: -13.76 eV for the cell shown
Mass density: 2.466 g/cm3
Magnetic moment: 0.00 μB per formula unit

a b c (Å): 5.872 5.872 6.156
angles (deg): 90.00 90.00 90.00
Space group P4/mmm (No. 123)
Unique sites:
Rb (0.000, 0.000, 0.000) [1 per cell]
Ca (0.500, 0.500, 0.000) [1 per cell]
Sn (0.500, 0.500, 0.500) [1 per cell]
Cl (0.000, 0.500, 0.500) [2 per cell]

***

4.
A relaxed structure of Rb2SrCaCl, computed with PBE.

Values from the calculation:
Formation energy (no corrections): -0.540 eV per atom
Calculated total energy: -10.17 eV for the cell shown
Mass density: 2.081 g/cm3
Magnetic moment: 0.00 μB per formula unit

a b c (Å): 6.645 6.645 6.039
angles (deg): 90.00 90.00 90.00
Space group P4/mmm (No. 123)
Unique sites:
Rb (0.000, 0.500, 0.000) [2 per cell]
Sr (0.000, 0.000, 0.500) [1 per cell]
Ca (0.500, 0.500, 0.500) [1 per cell]
Cl (0.000, 0.000, 0.000) [1 per cell]

***

5.
A relaxed structure of RbSr2CaCl, computed with PBE.

Values from the calculation:
Formation energy (no corrections): -0.265 eV per atom
Calculated total energy: -9.51 eV for the cell shown
Mass density: 1.730 g/cm3
Magnetic moment: 0.00 μB per formula unit

a b c (Å): 7.889 7.889 5.187
angles (deg): 90.00 90.00 90.00
Space group P4/mmm (No. 123)
Unique sites:
Rb (0.000, 0.000, 0.000) [1 per cell]
Sr (0.000, 0.500, 0.500) [2 per cell]
Ca (0.500, 0.500, 0.500) [1 per cell]
Cl (0.500, 0.500, 0.000) [1 per cell]

***

6.
A relaxed structure of Rb3Sr2CaCl9, computed with PBE.

Values from the calculation:
Formation energy (no corrections): -2.237 eV per atom
Calculated total energy: -58.44 eV for the cell shown
Mass density: 2.484 g/cm3
Magnetic moment: 0.00 μB per formula unit

a b c (Å): 7.9272 7.9272 9.7135
angles (deg): 90.00 90.00 120.00
Space group P-3m1 (No. 164)
Unique sites:
Rb (0.0000, 0.0000, 0.0000) [1 per cell]
Rb (0.3333, 0.6667, 0.6675) [2 per cell]
Sr (0.3333, 0.6667, 0.1733) [2 per cell]
Ca (0.0000, 0.0000, 0.5000) [1 per cell]
Cl (0.0000, 0.5000, 0.0000) [3 per cell]
Cl (0.1622, 0.3245, 0.3394) [6 per cell]

***

7.
A relaxed structure of Rb2CaTaCl6, computed with PBE.

Values from the calculation:
Formation energy (no corrections): -1.602 eV per atom
Calculated total energy: -171.57 eV for the cell shown
Mass density: 3.459 g/cm3
Magnetic moment: 3.00 μB per formula unit

a b c (Å): 10.511 10.511 10.511
angles (deg): 90.00 90.00 90.00
Space group Fm-3m (No. 225)
Unique sites:
Rb (0.250, 0.250, 0.250) [8 per cell]
Ca (0.000, 0.000, 0.000) [4 per cell]
Ta (0.000, 0.000, 0.500) [4 per cell]
Cl (0.000, 0.000, 0.258) [24 per cell]

***

8.
A relaxed structure of Rb2CaTcCl6, computed with PBE.

Values from the calculation:
Formation energy (no corrections): -1.519 eV per atom
Calculated total energy: -162.30 eV for the cell shown
Mass density: 3.151 g/cm3
Magnetic moment: 1.00 μB per formula unit

a b c (Å): 10.322 10.322 10.322
angles (deg): 90.00 90.00 90.00
Space group Fm-3m (No. 225)
Unique sites:
Rb (0.250, 0.250, 0.250) [8 per cell]
Ca (0.000, 0.000, 0.000) [4 per cell]
Tc (0.000, 0.000, 0.500) [4 per cell]
Cl (0.000, 0.000, 0.262) [24 per cell]

***

9.
A relaxed structure of Rb2CaTeCl6, computed with PBE.

Values from the calculation:
Formation energy (no corrections): -1.478 eV per atom
Calculated total energy: -65.88 eV for the cell shown
Mass density: 2.560 g/cm3
Magnetic moment: 2.00 μB per formula unit

a b c (Å): 8.205 8.205 10.626
angles (deg): 90.00 90.00 90.00
Space group I4/mmm (No. 139)
Unique sites:
Rb (0.000, 0.500, 0.250) [4 per cell]
Ca (0.000, 0.000, 0.000) [2 per cell]
Te (0.000, 0.000, 0.500) [2 per cell]
Cl (0.000, 0.000, 0.261) [4 per cell]
Cl (0.231, 0.231, 0.000) [8 per cell]

***

10.
A relaxed structure of Rb2CaTiCl6, computed with PBE.

Values from the calculation:
Formation energy (no corrections): -1.908 eV per atom
Calculated total energy: -167.96 eV for the cell shown
Mass density: 2.722 g/cm3
Magnetic moment: 2.00 μB per formula unit

a b c (Å): 10.479 10.479 10.479
angles (deg): 90.00 90.00 90.00
Space group Fm-3m (No. 225)
Unique sites:
Rb (0.250, 0.250, 0.250) [8 per cell]
Ca (0.000, 0.000, 0.000) [4 per cell]
Ti (0.000, 0.000, 0.500) [4 per cell]
Cl (0.000, 0.000, 0.259) [24 per cell]

***

11.
A relaxed structure of RbCa2TiCl8, computed with PBE.

Values from the calculation:
Formation energy (no corrections): -1.985 eV per atom
Calculated total energy: -51.46 eV for the cell shown
Mass density: 2.357 g/cm3
Magnetic moment: 1.00 μB per formula unit

a b c (Å): 6.258 6.481 8.638
angles (deg): 89.97 89.96 88.96
Space group P-1 (No. 2)
Unique sites:
Rb (0.000, 0.000, 0.000) [1 per cell]
Ca (0.500, 0.500, 0.254) [2 per cell]
Ti (0.000, 0.000, 0.500) [1 per cell]
Cl (0.223, 0.835, 0.306) [2 per cell]
Cl (0.223, 0.835, 0.694) [2 per cell]
Cl (0.253, 0.306, 0.500) [2 per cell]
Cl (0.273, 0.387, 0.000) [2 per cell]

***

12.
A relaxed structure of Rb2CaTiCl, computed with PBE.

Values from the calculation:
Formation energy (no corrections): 0.361 eV per atom
Calculated total energy: -11.87 eV for the cell shown
Mass density: 1.544 g/cm3
Magnetic moment: 2.84 μB per formula unit

a b c (Å): 7.869 7.869 5.112
angles (deg): 90.00 90.00 90.00
Space group P4/mmm (No. 123)
Unique sites:
Rb (0.000, 0.500, 0.000) [2 per cell]
Ca (0.000, 0.000, 0.000) [1 per cell]
Ti (0.500, 0.500, 0.500) [1 per cell]
Cl (0.000, 0.000, 0.500) [1 per cell]

***

13.
A relaxed structure of RbCaTl2Cl5, computed with PBE.

Values from the calculation:
Formation energy (no corrections): -1.668 eV per atom
Calculated total energy: -63.90 eV for the cell shown
Mass density: 3.801 g/cm3
Magnetic moment: 0.00 μB per formula unit

a b c (Å): 5.272 7.628 15.459
angles (deg): 90.00 90.00 90.00
Space group Immm (No. 71)
Unique sites:
Rb (0.000, 0.000, 0.000) [2 per cell]
Ca (0.000, 0.000, 0.500) [2 per cell]
Tl (0.000, 0.500, 0.211) [4 per cell]
Cl (0.000, 0.250, 0.373) [8 per cell]
Cl (0.000, 0.500, 0.000) [2 per cell]

***

14.
A relaxed structure of RbCaTlCl6, computed with PBE.

Values from the calculation:
Formation energy (no corrections): -1.563 eV per atom
Calculated total energy: -30.48 eV for the cell shown
Mass density: 2.884 g/cm3
Magnetic moment: 0.00 μB per formula unit

a b c (Å): 7.0482 7.0482 7.2624
angles (deg): 90.00 90.00 120.00
Space group P312 (No. 149)
Unique sites:
Rb (0.0000, 0.0000, 0.0000) [1 per cell]
Ca (0.3333, 0.6667, 0.5000) [1 per cell]
Tl (0.6667, 0.3333, 0.5000) [1 per cell]
Cl (0.3790, 0.0121, 0.7113) [6 per cell]

***

15.
A relaxed structure of Rb2CaTlCl5, computed with PBE.

Values from the calculation:
Formation energy (no corrections): -1.872 eV per atom
Calculated total energy: -32.38 eV for the cell shown
Mass density: 3.033 g/cm3
Magnetic moment: 0.00 μB per formula unit

a b c (Å): 5.278 5.278 11.648
angles (deg): 90.00 90.00 90.00
Space group P4/mmm (No. 123)
Unique sites:
Rb (0.000, 0.000, 0.218) [2 per cell]
Ca (0.500, 0.500, 0.000) [1 per cell]
Tl (0.500, 0.500, 0.500) [1 per cell]
Cl (0.000, 0.000, 0.500) [1 per cell]
Cl (0.000, 0.500, 0.000) [2 per cell]
Cl (0.500, 0.500, 0.236) [2 per cell]

***

16.
A relaxed structure of Rb3CaTl2Cl6, computed with PBE.

Values from the calculation:
Formation energy (no corrections): -1.613 eV per atom
Calculated total energy: -80.15 eV for the cell shown
Mass density: 3.549 g/cm3
Magnetic moment: 0.81 μB per formula unit

a b c (Å): 9.384 12.929 7.995
angles (deg): 90.00 117.68 90.00
Space group C2/m (No. 12)
Unique sites:
Rb (0.000, 0.000, 0.000) [2 per cell]
Rb (0.000, 0.318, 0.000) [4 per cell]
Ca (0.000, 0.500, 0.500) [2 per cell]
Tl (0.000, 0.136, 0.500) [4 per cell]
Cl (0.175, 0.500, 0.304) [4 per cell]
Cl (0.197, 0.344, 0.741) [8 per cell]

***

17.
A relaxed structure of RbCaTlCl4, computed with PBE.

Values from the calculation:
Formation energy (no corrections): -1.869 eV per atom
Calculated total energy: -51.62 eV for the cell shown
Mass density: 3.306 g/cm3
Magnetic moment: 0.00 μB per formula unit

a b c (Å): 5.374 5.374 16.410
angles (deg): 90.00 90.00 90.00
Space group I4mm (No. 107)
Unique sites:
Rb (0.000, 0.000, 0.000) [2 per cell]
Ca (0.000, 0.000, 0.359) [2 per cell]
Tl (0.000, 0.000, 0.711) [2 per cell]
Cl (0.000, 0.000, 0.195) [2 per cell]
Cl (0.000, 0.000, 0.528) [2 per cell]
Cl (0.000, 0.500, 0.362) [4 per cell]

***

18.
A relaxed structure of RbCaTl2Cl8, computed with PBE.

Values from the calculation:
Formation energy (no corrections): -1.259 eV per atom
Calculated total energy: -37.59 eV for the cell shown
Mass density: 3.308 g/cm3
Magnetic moment: 0.87 μB per formula unit

a b c (Å): 6.9647 6.9647 9.7745
angles (deg): 90.00 90.00 120.00
Space group P-3 (No. 147)
Unique sites:
Rb (0.0000, 0.0000, 0.0000) [1 per cell]
Ca (0.0000, 0.0000, 0.5000) [1 per cell]
Tl (0.3333, 0.6667, 0.7406) [2 per cell]
Cl (0.0247, 0.7026, 0.3259) [6 per cell]
Cl (0.3333, 0.6667, 0.9982) [2 per cell]

***

19.
A relaxed structure of RbCaUCl6, computed with PBE.

Values from the calculation:
Formation energy (no corrections): -2.008 eV per atom
Calculated total energy: -86.82 eV for the cell shown
Mass density: 2.928 g/cm3
Magnetic moment: 3.00 μB per formula unit

a b c (Å): 7.2851 7.2851 14.2218
angles (deg): 90.00 90.00 120.00
Space group P-31c (No. 163)
Unique sites:
Rb (0.0000, 0.0000, 0.0000) [2 per cell]
Ca (0.3333, 0.6667, 0.2500) [2 per cell]
U (0.3333, 0.6667, 0.7500) [2 per cell]
Cl (0.0006, 0.3748, 0.1415) [12 per cell]

***

20.
A relaxed structure of RbCaV2Cl8, computed with PBE.

Values from the calculation:
Formation energy (no corrections): -1.503 eV per atom
Calculated total energy: -54.02 eV for the cell shown
Mass density: 2.263 g/cm3
Magnetic moment: 5.00 μB per formula unit

a b c (Å): 6.7091 6.7091 9.6216
angles (deg): 90.00 90.00 120.00
Space group P-3 (No. 147)
Unique sites:
Rb (0.0000, 0.0000, 0.0000) [1 per cell]
Ca (0.0000, 0.0000, 0.5000) [1 per cell]
V (0.3333, 0.6667, 0.7399) [2 per cell]
Cl (0.0064, 0.3257, 0.6772) [6 per cell]
Cl (0.3333, 0.6667, 0.9734) [2 per cell]

***

21.
A relaxed structure of Rb3CaV2Cl9, computed with PBE.

Values from the calculation:
Formation energy (no corrections): -1.708 eV per atom
Calculated total energy: -65.38 eV for the cell shown
Mass density: 2.919 g/cm3
Magnetic moment: 6.00 μB per formula unit

a b c (Å): 7.2642 7.2642 8.9316
angles (deg): 90.00 90.00 120.00
Space group P-3m1 (No. 164)
Unique sites:
Rb (0.0000, 0.0000, 0.0000) [1 per cell]
Rb (0.3333, 0.6667, 0.6784) [2 per cell]
Ca (0.0000, 0.0000, 0.5000) [1 per cell]
V (0.3333, 0.6667, 0.1604) [2 per cell]
Cl (0.0000, 0.5000, 0.0000) [3 per cell]
Cl (0.1737, 0.3475, 0.3221) [6 per cell]

***

22.
A relaxed structure of Rb2CaWCl6, computed with PBE.

Values from the calculation:
Formation energy (no corrections): -1.413 eV per atom
Calculated total energy: -168.38 eV for the cell shown
Mass density: 3.618 g/cm3
Magnetic moment: 2.00 μB per formula unit

a b c (Å): 10.371 10.371 10.371
angles (deg): 90.00 90.00 90.00
Space group Fm-3m (No. 225)
Unique sites:
Rb (0.250, 0.250, 0.250) [8 per cell]
Ca (0.000, 0.000, 0.000) [4 per cell]
W (0.000, 0.000, 0.500) [4 per cell]
Cl (0.000, 0.000, 0.261) [24 per cell]